Crystalline TbInGa3 at its relaxed geometry, computed with PBE.

POSCAR file:
```
TbInGa3
1.0
9.751 0.000 0.000
0.000 3.159 0.000
0.000 0.000 7.573
Tb In Ga
2 2 6
direct
0.250 0.000 0.096
0.750 0.000 0.904
0.250 0.500 0.719
0.750 0.500 0.281
0.000 0.500 0.000
0.092 0.500 0.379
0.408 0.500 0.379
0.500 0.500 0.000
0.592 0.500 0.621
0.908 0.500 0.621
```

Computed properties:
DOS(E_F) = 0.5559 states/eV per atom
ΔE_f = -0.171 eV/atom
crystal system = orthorhombic